# CsTa4Te8

An optimized crystal structure of CsTa4Te8 (PBE, the Alexandria database).

Results
N(E_F)	7.285	states/eV/f.u.
size of the total moment	0.00	μB/cell
crystal system	monoclinic
raw formation energy	-0.341	eV per atom
final energy	-0.2200	Ha/atom

Unit cell a=3.752 b=10.245 c=10.278 alpha=83.18 beta=79.48 gamma=79.45
Sites, in units of the cell vectors:
Cs  0.516  0.002  0.967
Ta  0.382  0.810  0.427
Ta  0.826  0.504  0.845
Ta  0.206  0.500  0.089
Ta  0.650  0.194  0.507
Te  0.147  0.346  0.361
Te  0.561  0.658  0.220
Te  0.470  0.345  0.714
Te  0.885  0.658  0.573
Te  0.848  0.996  0.308
Te  0.209  0.700  0.883
Te  0.184  0.007  0.626
Te  0.823  0.304  0.051